Below is crystalline CaHoCo2O6 at its relaxed geometry, with properties calculated at the GGA+U level.

Lattice parameters (Å, degrees): 5.2447 5.4759 7.4191 90.00 90.00 90.00
Last column: nearest neighbours and their distance in Å.
Atoms (fractional coordinates):
Ca: 0.4876 0.1956 0.0000  6 O 2.30-2.53
Ca: 0.9876 0.8044 0.5000  6 O 2.30-2.53
Ho: 0.0191 0.6836 0.0000  6 O 2.26-2.43
Ho: 0.5191 0.3164 0.5000  6 O 2.26-2.43
Co: 0.0009 0.2449 0.7494  6 O 1.92-1.98
Co: 0.0009 0.2449 0.2506  6 O 1.92-1.98
Co: 0.5009 0.7551 0.2494  6 O 1.92-1.98
Co: 0.5009 0.7551 0.7506  6 O 1.92-1.98
O: 0.0979 0.2274 0.5000  2 Co 1.92
O: 0.1971 0.9479 0.7977  2 Co 1.94-1.96
O: 0.1971 0.9479 0.2023  2 Co 1.94-1.96
O: 0.2933 0.4590 0.7950  2 Co 1.96-1.98
O: 0.2933 0.4590 0.2050  2 Co 1.96-1.98
O: 0.4173 0.7215 0.5000  2 Co 1.92
O: 0.5979 0.7726 0.0000  2 Co 1.92
O: 0.6971 0.0521 0.2977  2 Co 1.94-1.96
O: 0.6971 0.0521 0.7023  2 Co 1.94-1.96
O: 0.7933 0.5410 0.7050  2 Co 1.96-1.98
O: 0.7933 0.5410 0.2950  2 Co 1.96-1.98
O: 0.9173 0.2785 0.0000  2 Co 1.92

Calculated values
E: -132.26 eV for the cell shown
space group: No. 31
Fermi-level density of states: 3.94 states/eV per cell